1.
First-principles (GGA-PBE) data for an optimized crystal structure of MgTa2Si, as listed in the Alexandria database.

Cell and atoms, written as POSCAR:
```
MgTa2Si
1.0
-2.4394 4.1181 -1.7159
-4.7674 -1.0192 -1.4444
2.6933 -0.9988 4.1955
Ta Mg Si
2 1 1
Direct
0.5000 0.5000 0.0000
0.0000 0.0000 0.0000
0.2500 0.7500 0.5000
0.7500 0.2500 0.5000
```

Results
ΔE_f (raw): 0.018 eV/atom

2.
First-principles (GGA-PBE) data for an optimized crystal structure of Cs5RbAg, as listed in the Alexandria database.

Cell and atoms, written as POSCAR:
```
Cs5RbAg
1.0
9.7044 1.7141 2.5922
2.7158 9.4730 2.5922
1.7495 1.5758 15.8602
Cs Ag Rb
10 2 2
Direct
0.3999 0.9664 0.8951
0.6001 0.0336 0.1049
0.0110 0.9890 0.2500
0.4244 0.8559 0.4429
0.9664 0.3999 0.3951
0.0336 0.6001 0.6049
0.9890 0.0110 0.7500
0.8559 0.4244 0.9429
0.1441 0.5756 0.0571
0.5756 0.1441 0.5571
0.0000 0.0000 0.0000
0.0000 0.0000 0.5000
0.4995 0.5005 0.2500
0.5005 0.4995 0.7500
```

Results
E_tot: -7.85 eV per formula unit

3.
First-principles (GGA-PBE) data for an optimized crystal structure of RbInW2Se, as listed in the Alexandria database.

Cell and atoms, written as POSCAR:
```
RbInW2Se
1.0
4.9228 0.0000 0.0000
0.0000 5.6989 0.0000
0.0000 0.0000 4.9228
Se W Rb In
1 2 1 1
Direct
0.5000 0.5000 0.5000
0.0000 0.0000 0.5000
0.5000 0.0000 0.0000
0.0000 0.0000 0.0000
0.0000 0.5000 0.0000
```

Results
ΔE_f (raw): 3.411 eV/atom

4.
First-principles (GGA-PBE) data for an optimized crystal structure of AgHg2I4, as listed in the Alexandria database.

Cell and atoms, written as POSCAR:
```
AgHg2I4
1.0
-0.1583 3.0541 5.2962
-6.0745 -0.6776 0.2092
3.9192 -7.2911 0.7906
Ag I Hg
1 4 2
Direct
0.0000 0.0000 0.0000
0.2118 0.2118 0.4237
0.0000 0.5000 0.0000
0.5000 0.0000 0.0000
0.7882 0.7882 0.5763
0.5979 0.5979 0.1959
0.4021 0.4021 0.8041
```

Results
ΔE_f (raw): -0.113 eV/atom

5.
First-principles (GGA-PBE) data for an optimized crystal structure of NaGaBi, as listed in the Alexandria database.

Cell and atoms, written as POSCAR:
```
NaGaBi
1.0
-0.6211 -4.2460 2.7104
4.1229 -1.9883 -2.1915
4.0040 2.6614 5.0963
Ga Na Bi
2 2 2
Direct
0.1106 0.8724 0.0563
0.6104 0.3727 0.0564
0.1107 0.3736 0.7452
0.6096 0.8716 0.3674
0.1099 0.3721 0.2754
0.6105 0.8732 0.8372
```

Results
E_tot: -8.72 eV per formula unit

Q: Which formula does entry 5 have?
A: NaGaBi